Entry from Alexandria: Ca3CuSn after structural relaxation (GGA-PBE).

The structure in POSCAR format:
```
Ca3CuSn
1.0
-4.0245 2.5925 -2.5320
2.1743 -1.2996 -4.7867
-2.8990 -4.5737 -0.0751
Sn Ca Cu
1 3 1
Cartesian
-2.3746 -1.6404 -3.6969
-2.0123 1.2963 -1.2660
-1.4495 -2.2868 -0.0375
1.0872 -0.6498 -2.3933
0.0000 0.0000 0.0000
```

Summary:
- ΔE_f: -0.1371 eV/atom
- Energy above the lowest structure with this stoichiometry: 0.00 eV/f.u.
- Symmetry: Pm-3m (221)
- Magnetization: 0.0 μB/cell

Entry from Alexandria: CaCu3Sn after structural relaxation (GGA-PBE).

The structure in POSCAR format:
```
CaCu3Sn
1.0
4.8662 0.0000 0.0000
0.0000 4.8662 0.0000
0.0000 0.0000 4.8662
Sn Cu Ca
1 3 1
Cartesian
0.0000 0.0000 0.0000
0.0000 2.4331 0.0000
2.4331 0.0000 0.0000
0.0000 0.0000 2.4331
2.4331 2.4331 2.4331
```

Summary:
- ΔE_f: 0.2354 eV/atom
- Energy above the lowest structure with this stoichiometry: 0.00 eV/f.u.
- Symmetry: Pm-3m (221)
- Magnetization: 0.0 μB/cell

Entry from Alexandria: CaCu4Sn2 after structural relaxation (GGA-PBE).

The structure in POSCAR format:
```
CaCu4Sn2
1.0
-4.9248 2.7317 -4.0431
3.1318 -5.1488 -3.4270
-2.9238 -2.3866 5.8153
Cu Ca Sn
8 2 4
Cartesian
-1.6599 -3.3623 -1.6602
-2.5276 -2.0761 2.4733
-2.1892 -2.7276 -4.1280
-4.7235 -0.6813 2.5490
0.0067 -4.1225 -4.2038
-3.0570 -1.4415 0.0054
-5.1811 -2.6464 0.9051
0.4643 -2.1574 -2.5599
0.0520 -1.8839 0.5971
0.1560 -5.6516 1.7913
0.7619 -4.6422 -1.6222
-1.8728 -0.7632 -2.2450
-5.4788 -0.1615 -0.0325
-2.8440 -4.0405 0.5902
```

Summary:
- ΔE_f: -0.2162 eV/atom
- Symmetry: I4/mcm (140)
- Magnetization: 0.0 μB/cell

Entry from Alexandria: Ca3Cu2Sn3 after structural relaxation (GGA-PBE).

The structure in POSCAR format:
```
Ca3Cu2Sn3
1.0
4.4751 0.0044 0.0023
0.0061 5.2699 0.0434
2.2398 1.4992 8.3834
Ca Cu Sn
3 2 3
Cartesian
0.0000 0.0000 0.0000
2.2403 4.1237 5.8404
4.4807 2.6498 2.5887
2.2395 1.4120 4.5837
4.4814 5.3614 3.8454
2.2406 2.6372 0.0229
4.4786 1.6024 6.0171
2.2423 5.1710 2.4120
```

Summary:
- ΔE_f: -0.4341 eV/atom
- Energy above the lowest structure with this stoichiometry: 0.51 eV/f.u.
- Symmetry: P-1 (2)
- Magnetization: 0.0 μB/cell

Entry from Alexandria: CaCuSn3 after structural relaxation (GGA-PBE).

The structure in POSCAR format:
```
CaCuSn3
1.0
-1.6005 2.1488 4.3378
3.5069 -2.5158 2.5402
5.6088 7.9231 -4.8326
Sn Ca Cu
6 2 2
Cartesian
3.9860 2.3775 1.7884
1.4467 4.7405 2.6978
6.0684 2.8157 -0.6524
7.4503 6.4717 1.0608
0.0648 1.0844 0.9845
3.5291 5.1787 0.2569
5.8939 5.9466 -2.2472
1.6212 1.6095 4.2925
1.6934 3.0178 0.6510
5.8217 4.5383 1.3943
```

Summary:
- ΔE_f: -0.1896 eV/atom
- Symmetry: C2/m (12)
- Magnetization: 0.0 μB/cell

Entry from Alexandria: Ca3Cu8Sn after structural relaxation (GGA-PBE).

The structure in POSCAR format:
```
Ca3Cu8Sn
1.0
-1.3842 -0.9467 4.9199
-0.2830 -4.8953 1.7241
7.7551 -1.5794 4.6236
Sn Cu Ca
1 8 3
Cartesian
1.4994 -5.7018 7.5619
6.1044 -5.4980 8.8967
4.4448 -6.0890 6.9461
0.7296 -2.8443 3.7658
3.7542 -6.5613 9.4008
3.0752 -1.7866 3.2671
3.8955 -4.1189 8.5406
0.5870 -5.3111 4.6346
0.0322 -3.3213 6.2450
2.9674 -3.7141 5.6116
6.1351 -3.5739 6.5298
-1.5538 -5.8370 6.6769
```

Summary:
- ΔE_f: -0.1369 eV/atom
- Symmetry: R3m (160)
- Magnetization: 0.0 μB/cell